Computed, not measured: crystalline MnFeCo at its relaxed geometry at the PBE-GGA level of DFT.

Computed properties:
Total energy in eV/atom: -8.20
Crystal system: tetragonal
Energy above the lowest structure with this stoichiometry in meV per atom: 0
Calculated formation energy in kJ per mole of atoms: 4

```
data_MnFeCo
_chemical_formula_sum 'Mn2 Fe2 Co2'
_space_group_name_H-M_alt 'P 1'
_space_group_IT_number 1
_cell_length_a 2.8175
_cell_length_b 2.8175
_cell_length_c 8.6989
_cell_angle_alpha 90.00
_cell_angle_beta 90.00
_cell_angle_gamma 90.00
loop_
_space_group_symop_operation_xyz
'x,y,z'
loop_
_atom_site_label
_atom_site_fract_x
_atom_site_fract_y
_atom_site_fract_z
Mn1 0.2500 0.2500 0.0827
Mn2 0.7500 0.7500 0.9173
Fe1 0.2500 0.2500 0.4142
Fe2 0.7500 0.7500 0.5858
Co1 0.2500 0.2500 0.7492
Co2 0.7500 0.7500 0.2508
```